(1)
DFT (PBE) results for crystalline CrReSi2 at its relaxed geometry.

Properties
SG: R-3m, No. 166
ΔE_f (raw) in eV/f.u.: 0.005
N(E_F) in states/eV/cell: 10.3

Lattice parameters (Å, degrees): 2.7780 2.7780 23.6953 90.00 90.00 120.00
Closest atoms and distances in Å follow each position.
Atoms (fractional coordinates):
Cr: 0.0000 0.0000 0.0000  6 Si 2.49, 6 Cr 2.78
Cr: 0.3333 0.6667 0.6667  6 Si 2.49, 6 Cr 2.78
Cr: 0.6667 0.3333 0.3333  6 Si 2.49, 6 Cr 2.78
Re: 0.0000 0.0000 0.5000  6 Si 2.60, 6 Re 2.78
Re: 0.3333 0.6667 0.1667  6 Si 2.60, 6 Re 2.78
Re: 0.6667 0.3333 0.8333  6 Si 2.60, 6 Re 2.78
Si: 0.0000 0.0000 0.2529  3 Cr 2.49, 3 Re 2.60, 6 Si 2.78
Si: 0.0000 0.0000 0.7471  3 Cr 2.49, 3 Re 2.60, 6 Si 2.78
Si: 0.3333 0.6667 0.4138  3 Cr 2.49, 3 Re 2.60, 6 Si 2.78
Si: 0.3333 0.6667 0.9195  3 Cr 2.49, 3 Re 2.60, 6 Si 2.78
Si: 0.6667 0.3333 0.0805  3 Cr 2.49, 3 Re 2.60, 6 Si 2.78
Si: 0.6667 0.3333 0.5862  3 Cr 2.49, 3 Re 2.60, 6 Si 2.78

=====

(2)
DFT (PBE) results for crystalline Cr2ReSi at its relaxed geometry.

Properties
SG: I-42d, No. 122
ΔE_f (raw) in eV/f.u.: 2.652
N(E_F) in states/eV/cell: 20.9

Lattice parameters (Å, degrees): 6.6182 6.6182 5.0835 90.00 90.00 90.00
Closest atoms and distances in Å follow each position.
Atoms (fractional coordinates):
Cr: 0.2435 0.7500 0.1250  2 Si 2.40, 2 Re 2.45, 2 Cr 2.54
Cr: 0.2500 0.2435 0.8750  2 Si 2.40, 2 Re 2.45, 2 Cr 2.54
Cr: 0.2500 0.2565 0.3750  2 Si 2.40, 2 Re 2.45, 2 Cr 2.54
Cr: 0.2565 0.7500 0.6250  2 Si 2.40, 2 Re 2.45, 2 Cr 2.54
Cr: 0.7435 0.2500 0.6250  2 Si 2.40, 2 Re 2.45, 2 Cr 2.54
Cr: 0.7500 0.7435 0.3750  2 Si 2.40, 2 Re 2.45, 2 Cr 2.54
Cr: 0.7500 0.7565 0.8750  2 Si 2.40, 2 Re 2.45, 2 Cr 2.54
Cr: 0.7565 0.2500 0.1250  2 Si 2.40, 2 Re 2.45, 2 Cr 2.54
Re: 0.0000 0.0000 0.5000  4 Cr 2.45, 2 Si 2.54
Re: 0.0000 0.5000 0.7500  4 Cr 2.45, 2 Si 2.54
Re: 0.5000 0.0000 0.2500  4 Cr 2.45, 2 Si 2.54
Re: 0.5000 0.5000 0.0000  4 Cr 2.45, 2 Si 2.54
Si: 0.0000 0.0000 0.0000  4 Cr 2.40, 2 Re 2.54
Si: 0.0000 0.5000 0.2500  4 Cr 2.40, 2 Re 2.54
Si: 0.5000 0.0000 0.7500  4 Cr 2.40, 2 Re 2.54
Si: 0.5000 0.5000 0.5000  4 Cr 2.40, 2 Re 2.54

=====

(3)
DFT (PBE) results for crystalline CrRe2Si2 at its relaxed geometry.

Properties
SG: P4/mbm, No. 127
ΔE_f (raw) in eV/f.u.: 0.697
N(E_F) in states/eV/cell: 5.7

Lattice parameters (Å, degrees): 7.0547 7.0547 2.9335 90.00 90.00 90.00
Closest atoms and distances in Å follow each position.
Atoms (fractional coordinates):
Cr: 0.0000 0.0000 0.0000  4 Re 2.73, 2 Cr 2.93, 8 Si 3.04
Cr: 0.5000 0.5000 0.0000  4 Re 2.73, 2 Cr 2.93, 8 Si 3.04
Re: 0.1393 0.3607 0.0000  6 Si 2.51-2.55, 2 Cr 2.73, 1 Re 2.78
Re: 0.3607 0.8607 0.0000  6 Si 2.51-2.55, 2 Cr 2.73, 1 Re 2.78
Re: 0.6393 0.1393 0.0000  6 Si 2.51-2.55, 2 Cr 2.73, 1 Re 2.78
Re: 0.8607 0.6393 0.0000  6 Si 2.51-2.55, 2 Cr 2.73, 1 Re 2.78
Si: 0.1561 0.6561 0.5000  6 Re 2.51-2.55
Si: 0.3439 0.1561 0.5000  6 Re 2.51-2.55
Si: 0.6561 0.8439 0.5000  6 Re 2.51-2.55
Si: 0.8439 0.3439 0.5000  6 Re 2.51-2.55